This record from Alexandria describes a relaxed structure of K3Li2Pb9. The functional is PBE.

```
14
Lattice="-2.519 6.222 7.162 2.519 -6.222 7.162 2.519 6.222 -7.162" Properties=species:S:1:pos:R:3 pbc="T T T"
K 0.000 0.000 0.000
K 0.000 0.000 4.031
K 0.000 0.000 10.292
Li 2.519 4.380 0.000
Li 0.000 1.842 7.162
Pb 2.519 1.824 -1.775
Pb 2.519 -2.540 5.045
Pb 2.519 1.824 1.775
Pb 0.000 3.683 2.117
Pb 0.000 6.222 0.000
Pb 2.519 2.540 5.045
Pb 0.000 4.398 5.387
Pb 0.000 8.762 2.117
Pb 0.000 4.398 8.936
```

---

This record from Alexandria describes a relaxed structure of KLi2Pb. The functional is PBE.

```
4
Lattice="3.439 0.000 0.000 0.000 4.929 0.000 -1.711 0.000 6.945" Properties=species:S:1:pos:R:3 pbc="T T T"
K 0.000 0.000 0.000
Li 1.726 2.465 2.217
Li 1.725 0.000 3.744
Pb 0.006 2.465 4.556
```

---

This record from Alexandria describes a relaxed structure of KLiPdPb2. The functional is PBE.

```
5
Lattice="5.383 0.000 0.000 0.000 5.383 0.000 0.000 0.000 5.217" Properties=species:S:1:pos:R:3 pbc="T T T"
K 0.000 0.000 0.000
Li 2.692 2.692 0.000
Pd 2.692 2.692 2.609
Pb 0.000 2.692 2.609
Pb 2.692 0.000 2.609
```

---

This record from Alexandria describes a relaxed structure of KLi2PtPb. The functional is PBE.

```
5
Lattice="5.149 0.000 0.000 0.000 5.149 0.000 0.000 0.000 5.189" Properties=species:S:1:pos:R:3 pbc="T T T"
K 0.000 0.000 0.000
Li 0.000 2.575 2.594
Li 2.575 0.000 2.594
Pt 2.575 2.575 2.594
Pb 2.575 2.575 0.000
```

---

Q: Which formation energy from the elements values were calculated for the entries above? A: -0.16 -0.08 -0.13 -0.25, in eV/atom.